(1)
# Pr2SmHo7

Pr2SmHo7 after structural relaxation (PBE, the Alexandria database).

Cell and atoms, written as POSCAR:
```
Pr2SmHo7
1.0
3.257 -14.467 0.000
3.257 14.467 0.000
0.000 0.000 3.518
Pr Sm Ho
2 1 7
direct
0.207 0.793 0.000
0.793 0.207 0.000
0.500 0.500 0.500
0.000 0.000 0.000
0.155 0.352 0.000
0.316 0.684 0.500
0.352 0.155 0.000
0.648 0.845 0.000
0.684 0.316 0.500
0.845 0.648 0.000
```

Results
Offset from the most stable computed form ... 142 meV per atom
Magnetization ... 0.0 μB/f.u.
Crystal system ... orthorhombic
Density of states at the Fermi level ... 16.5 states/eV per cell

***

(2)
# Er2PaPb

Er2PaPb after structural relaxation (PBE, the Alexandria database).

Cell and atoms, written as POSCAR:
```
Er2PaPb
1.0
3.518 0.000 0.000
0.000 3.518 0.000
0.000 0.000 9.058
Er Pa Pb
2 1 1
direct
0.000 0.000 0.244
0.000 0.000 0.756
0.500 0.500 0.500
0.500 0.500 0.000
```

Results
Offset from the most stable computed form ... 0 meV per atom
Magnetization ... 0.5 μB/f.u.
Crystal system ... tetragonal
Density of states at the Fermi level ... 6.2 states/eV per cell

***

(3)
# In4Ga2Co

In4Ga2Co after structural relaxation (PBE, the Alexandria database).

Cell and atoms, written as POSCAR:
```
In4Ga2Co
1.0
-2.489 2.489 7.181
2.489 -2.489 7.181
2.489 2.489 -7.181
In Ga Co
4 2 1
direct
0.000 0.500 0.500
0.175 0.175 0.000
0.500 0.000 0.500
0.825 0.825 0.000
0.369 0.369 0.000
0.631 0.631 0.000
0.000 0.000 0.000
```

Results
Electronic total energy ... -22.81 eV/cell
Magnetization ... 0.0 μB/f.u.
Crystal system ... tetragonal
Density of states at the Fermi level ... 3.3 states/eV per cell

***

(4)
# Ba4AgRu3O12

Ba4AgRu3O12 after structural relaxation (PBE, the Alexandria database).

Cell and atoms, written as POSCAR:
```
Ba4AgRu3O12
1.0
-4.159 4.159 4.159
4.159 -4.159 4.159
4.159 4.159 -4.159
Ba Ag Ru O
4 1 3 12
direct
0.000 0.000 0.500
0.000 0.500 0.000
0.500 0.000 0.000
0.500 0.500 0.500
0.000 0.000 0.000
0.000 0.500 0.500
0.500 0.000 0.500
0.500 0.500 0.000
0.000 0.270 0.270
0.000 0.730 0.730
0.250 0.500 0.750
0.250 0.750 0.500
0.270 0.000 0.270
0.270 0.270 0.000
0.500 0.250 0.750
0.500 0.750 0.250
0.730 0.000 0.730
0.730 0.730 0.000
0.750 0.250 0.500
0.750 0.500 0.250
```

Results
Magnetization ... 9.9 μB/f.u.
Raw formation energy ... -1591 meV per atom
Crystal system ... cubic
Density of states at the Fermi level ... 7.5 states/eV per cell

***

(5)
# Mg2ScAlAu4

Mg2ScAlAu4 after structural relaxation (PBE, the Alexandria database).

Cell and atoms, written as POSCAR:
```
Mg2ScAlAu4
1.0
2.320 1.339 7.738
-2.320 1.339 7.738
0.000 -2.678 7.738
Mg Sc Al Au
2 1 1 4
direct
0.250 0.250 0.250
0.750 0.750 0.750
0.500 0.500 0.500
0.000 0.000 0.000
0.118 0.118 0.118
0.374 0.374 0.374
0.626 0.626 0.626
0.882 0.882 0.882
```

Results
Electronic total energy ... -31.20 eV/cell
Magnetization ... 0.0 μB/f.u.
Crystal system ... trigonal
Density of states at the Fermi level ... 3.5 states/eV per cell

***

(6)
# KBe2Os

KBe2Os after structural relaxation (PBE, the Alexandria database).

Cell and atoms, written as POSCAR:
```
KBe2Os
1.0
1.366 0.788 9.491
-1.366 0.788 9.491
0.000 -1.577 9.491
K Be Os
1 2 1
direct
0.000 0.000 0.000
0.229 0.229 0.229
0.497 0.497 0.497
0.768 0.768 0.768
```

Results
Offset from the most stable computed form ... 545 meV per atom
Magnetization ... 0.0 μB/f.u.
Crystal system ... trigonal
Density of states at the Fermi level ... 2.1 states/eV per cell